No. 1
This record from the Alexandria database describes a geometry-optimized K2Hg15Au2 structure. The functional is GGA-PBE.

Unit cell a=8.5544 b=8.2231 c=7.9906 alpha=81.46 beta=90.55 gamma=90.11
Element x y z (fractional)
1 K 0.7041 0.6996 0.6918
2 K 0.2959 0.3004 0.3082
3 Hg 0.0000 0.5000 0.0000
4 Hg 0.0000 0.0000 0.5000
5 Hg 0.5000 0.0000 0.0000
6 Hg 0.3609 0.9606 0.6399
7 Hg 0.6359 0.3689 0.0434
8 Hg 0.1280 0.9010 0.1479
9 Hg 0.3641 0.6311 0.9566
10 Hg 0.8720 0.0990 0.8521
11 Hg 0.6391 0.0394 0.3601
12 Hg 0.4123 0.7181 0.3474
13 Hg 0.2334 0.2601 0.8284
14 Hg 0.8600 0.4233 0.4271
15 Hg 0.5877 0.2819 0.6526
16 Hg 0.7666 0.7399 0.1716
17 Hg 0.1400 0.5767 0.5729
18 Au 0.0679 0.8062 0.8098
19 Au 0.9321 0.1938 0.1903

Computed properties:
Space group: P-1, No. 2
Energy of formation (eV/f.u.): -1.72
Size of the total moment (μB per formula unit): 0.00
Total energy (eV/atom): -0.79
Crystal system: triclinic



No. 2
This record from the Alexandria database describes a geometry-optimized KSmTcN3 structure. The functional is GGA-PBE.

Unit cell a=3.9126 b=7.1063 c=7.8125 alpha=104.48 beta=90.00 gamma=105.98
Element x y z (fractional)
1 K 0.3590 0.7181 0.9287
2 K 0.6410 0.2819 0.0713
3 Sm 0.6615 0.3229 0.5784
4 Sm 0.3385 0.6771 0.4216
5 Tc 0.0025 0.0050 0.3275
6 Tc 0.9975 0.9950 0.6725
7 N 0.8665 0.7330 0.2101
8 N 0.8418 0.6836 0.6241
9 N 0.5105 0.0210 0.3265
10 N 0.1582 0.3164 0.3759
11 N 0.4895 0.9790 0.6735
12 N 0.1335 0.2670 0.7899

Computed properties:
Space group: C2/m, No. 12
Formation energy from raw total energies (eV/atom): -0.436
Size of the total moment (μB per formula unit): 0.00
Total energy (eV/atom): -7.30
Crystal system: monoclinic



No. 3
This record from the Alexandria database describes a geometry-optimized ZrBi2OsF structure. The functional is GGA-PBE.

Unit cell a=5.0804 b=4.0596 c=5.0804 alpha=90.00 beta=90.00 gamma=90.00
Element x y z (fractional)
1 Os 0.0000 0.5000 0.0000
2 Bi 0.0000 0.0000 0.5000
3 Bi 0.5000 0.0000 0.0000
4 Zr 0.5000 0.5000 0.5000
5 F 0.0000 0.0000 0.0000

Computed properties:
Space group: P4/mmm, No. 123
Formation energy from raw total energies (eV/atom): 0.294
Size of the total moment (μB per formula unit): 0.00
Total energy (eV/atom): -5.59
Crystal system: tetragonal



No. 4
This record from the Alexandria database describes a geometry-optimized LiPrLuSc structure. The functional is GGA-PBE.

Unit cell a=5.3803 b=5.3803 c=5.3803 alpha=60.00 beta=60.00 gamma=60.00
Element x y z (fractional)
1 Pr 0.7500 0.7500 0.7500
2 Sc 0.0000 0.0000 0.0000
3 Lu 0.2500 0.2500 0.2500
4 Li 0.5000 0.5000 0.5000

Computed properties:
Space group: F-43m, No. 216
Energy of formation (eV/f.u.): 0.62
Size of the total moment (μB per formula unit): 0.00
Total energy (eV/atom): -4.23
Crystal system: cubic



No. 5
This record from the Alexandria database describes a geometry-optimized TiSi2Os2 structure. The functional is GGA-PBE.

Unit cell a=7.0512 b=7.0512 c=2.8227 alpha=90.00 beta=90.00 gamma=90.00
Element x y z (fractional)
1 Si 0.3551 0.8551 0.0000
2 Si 0.8551 0.6449 0.0000
3 Si 0.6449 0.1449 0.0000
4 Si 0.1449 0.3551 0.0000
5 Os 0.1514 0.6514 0.5000
6 Os 0.6514 0.8486 0.5000
7 Os 0.8486 0.3486 0.5000
8 Os 0.3486 0.1514 0.5000
9 Ti 0.0000 0.0000 0.0000
10 Ti 0.5000 0.5000 0.0000

Computed properties:
Space group: P4/mbm, No. 127
Formation energy from raw total energies (eV/atom): -0.373
Size of the total moment (μB per formula unit): 0.00
Total energy (eV/atom): -8.61
Crystal system: tetragonal



No. 6
This record from the Alexandria database describes a geometry-optimized PmDy2HoSc structure. The functional is GGA-PBE.

Unit cell a=7.0801 b=8.1850 c=6.9513 alpha=126.07 beta=90.00 gamma=90.00
Element x y z (fractional)
1 Pm 0.2500 0.7299 0.4599
2 Pm 0.7500 0.2701 0.5401
3 Dy 0.5000 0.3026 0.0000
4 Dy 0.0000 0.6974 0.0000
5 Dy 0.5000 0.6974 0.0000
6 Dy 0.0000 0.3026 0.0000
7 Ho 0.7500 0.7339 0.4678
8 Ho 0.2500 0.2661 0.5322
9 Sc 0.2500 0.9949 0.9898
10 Sc 0.7500 0.0051 0.0102

Computed properties:
Space group: Cmcm, No. 63
Energy of formation (eV/f.u.): 1.70
Size of the total moment (μB per formula unit): 0.00
Total energy (eV/atom): -4.63
Crystal system: orthorhombic



Copy entry 3 word for word.
This record from the Alexandria database describes a geometry-optimized ZrBi2OsF structure. The functional is GGA-PBE.

Unit cell a=5.0804 b=4.0596 c=5.0804 alpha=90.00 beta=90.00 gamma=90.00
Element x y z (fractional)
1 Os 0.0000 0.5000 0.0000
2 Bi 0.0000 0.0000 0.5000
3 Bi 0.5000 0.0000 0.0000
4 Zr 0.5000 0.5000 0.5000
5 F 0.0000 0.0000 0.0000

Computed properties:
Space group: P4/mmm, No. 123
Formation energy from raw total energies (eV/atom): 0.294
Size of the total moment (μB per formula unit): 0.00
Total energy (eV/atom): -5.59
Crystal system: tetragonal